## i
A relaxed structure of TiIr3Cl, computed with GGA-PBE.

a = 4.688 Å, b = 4.688 Å, c = 4.688 Å
α = 90.00°, β = 90.00°, γ = 90.00°
Site moments in Bohr magnetons follow the coordinates.
Atoms (fractional coordinates):
Ir1 0.500 0.000 0.000  0.41
Ir2 0.000 0.000 0.500  0.81
Ti1 0.000 0.000 0.000  -0.16
Cl1 0.500 0.500 0.500  0.19
Ir3 0.000 0.500 0.000  0.83

Symmetry = No. 221
Total magnetic moment = 2.136 μB per formula unit

## ii
A relaxed structure of TiIr3Cl, computed with GGA-PBE.

a = 4.416 Å, b = 4.416 Å, c = 4.416 Å
α = 90.00°, β = 90.00°, γ = 90.00°
Atoms (fractional coordinates):
Ir1 0.000 0.500 0.000
Ir2 0.500 0.000 0.000
Ir3 0.000 0.000 0.500
Cl1 0.000 0.000 0.000
Ti1 0.500 0.500 0.500

Symmetry = No. 221
Total magnetic moment = 0.000 μB per formula unit

Most stable = ii

## i
A relaxed structure of TlIrCl2, computed with GGA-PBE.

a = 10.077 Å, b = 10.077 Å, c = 10.077 Å
α = 18.09°, β = 18.09°, γ = 18.09°
Atoms (fractional coordinates):
Cl1 0.924 0.924 0.924
Ir1 0.000 0.000 0.000
Tl1 0.500 0.500 0.500
Cl2 0.076 0.076 0.076

Symmetry = No. 166
Total magnetic moment = 0.000 μB per formula unit

## ii
A relaxed structure of TlIrCl2, computed with GGA-PBE.

a = 5.708 Å, b = 5.708 Å, c = 8.177 Å
α = 69.57°, β = 69.57°, γ = 90.00°
Atoms (fractional coordinates):
Cl1 0.875 0.748 0.750
Ir1 0.500 0.500 0.000
Cl2 0.498 0.125 0.250
Ir2 0.250 0.750 0.500
Tl1 0.000 0.000 0.000
Cl3 0.252 0.625 0.250
Tl2 0.750 0.250 0.500
Cl4 0.375 0.502 0.750

Symmetry = No. 122
Total magnetic moment = 0.000 μB per formula unit

Most stable = i

## i
A relaxed structure of TlIrCl2, computed with GGA-PBE.

a = 4.372 Å, b = 5.566 Å, c = 5.569 Å
α = 48.38°, β = 90.00°, γ = 90.00°
Atoms (fractional coordinates):
Tl1 0.500 0.666 0.666
Cl1 0.000 0.967 0.967
Ir1 0.000 0.519 0.519
Cl2 0.500 0.347 0.347

Symmetry = No. 38
Total magnetic moment = 0.000 μB per formula unit

## ii
A relaxed structure of TlIrCl2, computed with GGA-PBE.

a = 3.187 Å, b = 5.628 Å, c = 4.499 Å
α = 90.00°, β = 90.00°, γ = 90.00°
Atoms (fractional coordinates):
Tl1 0.000 0.500 0.500
Cl1 0.500 0.500 0.000
Cl2 0.000 0.000 0.000
Ir1 0.500 0.000 0.500

Symmetry = No. 47
Total magnetic moment = 0.000 μB per formula unit

## iii
A relaxed structure of TlIrCl2, computed with GGA-PBE.

a = 3.321 Å, b = 3.330 Å, c = 7.869 Å
α = 90.00°, β = 90.00°, γ = 90.00°
Site moments in Bohr magnetons follow the coordinates.
Atoms (fractional coordinates):
Ir1 0.500 0.500 0.250  1.70
Tl1 0.500 0.500 0.750  -0.02
Cl1 0.000 0.000 0.448  0.16
Cl2 0.000 0.000 0.052  0.16

Symmetry = No. 123
Total magnetic moment = 2.026 μB per formula unit

## iv
A relaxed structure of TlIrCl2, computed with GGA-PBE.

a = 8.673 Å, b = 8.673 Å, c = 8.673 Å
α = 24.74°, β = 24.74°, γ = 24.74°
Site moments in Bohr magnetons follow the coordinates.
Atoms (fractional coordinates):
Cl1 0.966 0.966 0.966  0.08
Ir1 0.250 0.250 0.250  0.88
Tl1 0.750 0.750 0.750  -0.01
Cl2 0.534 0.534 0.534  0.08

Symmetry = No. 166
Total magnetic moment = 1.147 μB per formula unit

Most stable = i

## i
A relaxed structure of TlIrCl2, computed with GGA-PBE.

a = 6.336 Å, b = 6.336 Å, c = 6.336 Å
α = 143.58°, β = 143.58°, γ = 52.45°
Site moments in Bohr magnetons follow the coordinates.
Atoms (fractional coordinates):
Cl1 0.000 0.000 0.000  0.02
Tl1 0.750 0.250 0.500  0.05
Ir1 0.500 0.500 0.000  1.09
Cl2 0.250 0.750 0.500  0.06

Symmetry = No. 119
Total magnetic moment = 1.305 μB per formula unit

## ii
A relaxed structure of TlIrCl2, computed with GGA-PBE.

a = 3.561 Å, b = 6.237 Å, c = 6.229 Å
α = 54.46°, β = 90.00°, γ = 90.00°
Atoms (fractional coordinates):
Cl1 0.000 0.391 0.391
Cl2 0.000 0.109 0.109
Ir1 0.500 0.250 0.250
Tl1 0.500 0.750 0.750

Symmetry = No. 10
Total magnetic moment = 0.000 μB per formula unit

## iii
A relaxed structure of TlIrCl2, computed with GGA-PBE.

a = 5.249 Å, b = 5.450 Å, c = 3.501 Å
α = 72.87°, β = 86.84°, γ = 117.63°
Atoms (fractional coordinates):
Tl1 0.500 0.500 0.000
Cl1 0.000 0.000 0.000
Cl2 0.500 0.000 0.500
Ir1 0.000 0.500 0.500

Symmetry = No. 12
Total magnetic moment = 0.000 μB per formula unit

## iv
A relaxed structure of TlIrCl2, computed with GGA-PBE.

a = 3.222 Å, b = 4.463 Å, c = 7.936 Å
α = 90.00°, β = 90.00°, γ = 90.00°
Atoms (fractional coordinates):
Cl1 0.500 0.500 0.286
Ir1 0.000 0.000 0.665
Cl2 0.000 0.000 0.942
Tl1 0.500 0.500 0.607

Symmetry = No. 25
Total magnetic moment = 0.000 μB per formula unit

Most stable = ii

## i
A relaxed structure of TlIrCl4, computed with GGA-PBE.

a = 5.972 Å, b = 5.972 Å, c = 5.972 Å
α = 60.00°, β = 60.00°, γ = 60.00°
Site moments in Bohr magnetons follow the coordinates.
Atoms (fractional coordinates):
Ir1 0.750 0.750 0.750  1.90
Cl1 0.376 0.376 0.871  0.44
Cl2 0.871 0.376 0.376  0.44
Cl3 0.376 0.871 0.376  0.44
Tl1 0.000 0.000 0.000  0.00
Cl4 0.376 0.376 0.376  0.44

Symmetry = No. 216
Total magnetic moment = 4.139 μB per formula unit

## ii
A relaxed structure of TlIrCl4, computed with GGA-PBE.

a = 5.940 Å, b = 6.412 Å, c = 8.619 Å
α = 106.19°, β = 110.13°, γ = 90.01°
Atoms (fractional coordinates):
Cl1 0.256 0.579 0.793
Tl1 0.804 0.750 0.000
Cl2 0.874 0.851 0.593
Cl3 0.719 0.351 0.593
Cl4 0.536 0.078 0.793
Tl2 0.196 0.250 0.000
Cl5 0.281 0.649 0.407
Cl6 0.464 0.922 0.207
Cl7 0.126 0.149 0.407
Ir1 0.000 0.500 0.500
Cl8 0.744 0.421 0.207
Ir2 0.500 0.000 0.500

Symmetry = No. 15
Total magnetic moment = 0.000 μB per formula unit

Most stable = ii

## i
A relaxed structure of TlIrCl6, computed with GGA-PBE.

a = 6.717 Å, b = 6.717 Å, c = 7.254 Å
α = 62.42°, β = 62.42°, γ = 60.00°
Site moments in Bohr magnetons follow the coordinates.
Atoms (fractional coordinates):
Cl1 0.911 0.911 0.781  0.12
Cl2 0.089 0.603 0.219  0.12
Ir1 0.000 0.000 0.000  1.03
Tl1 0.500 0.500 0.500  0.01
Cl3 0.603 0.089 0.219  0.12
Cl4 0.089 0.089 0.219  0.12
Cl5 0.397 0.911 0.781  0.12
Cl6 0.911 0.397 0.781  0.12

Symmetry = No. 166
Total magnetic moment = 2.069 μB per formula unit

## ii
A relaxed structure of TlIrCl6, computed with GGA-PBE.

a = 6.811 Å, b = 6.811 Å, c = 9.956 Å
α = 92.38°, β = 92.38°, γ = 68.62°
Atoms (fractional coordinates):
Tl1 0.989 0.011 0.750
Cl1 0.158 0.563 0.699
Cl2 0.215 0.143 0.493
Cl3 0.768 0.403 0.623
Cl4 0.143 0.215 0.993
Cl5 0.563 0.158 0.199
Cl6 0.842 0.437 0.301
Cl7 0.597 0.232 0.877
Cl8 0.437 0.842 0.801
Tl2 0.011 0.989 0.250
Cl9 0.785 0.857 0.507
Cl10 0.857 0.785 0.007
Ir1 0.000 0.500 0.500
Ir2 0.500 0.000 0.000
Cl11 0.403 0.768 0.123
Cl12 0.232 0.597 0.377

Symmetry = No. 15
Total magnetic moment = 0.000 μB per formula unit

Most stable = ii

## i
A relaxed structure of Tl3IrCl, computed with GGA-PBE.

a = 5.317 Å, b = 5.317 Å, c = 5.317 Å
α = 90.00°, β = 90.00°, γ = 90.00°
Atoms (fractional coordinates):
Tl1 0.500 0.000 0.000
Cl1 0.500 0.500 0.500
Tl2 0.000 0.500 0.000
Tl3 0.000 0.000 0.500
Ir1 0.000 0.000 0.000

Symmetry = No. 221
Total magnetic moment = 0.000 μB per formula unit

## ii
A relaxed structure of Tl3IrCl, computed with GGA-PBE.

a = 5.718 Å, b = 5.718 Å, c = 5.718 Å
α = 90.00°, β = 90.00°, γ = 90.00°
Site moments in Bohr magnetons follow the coordinates.
Atoms (fractional coordinates):
Ir1 0.500 0.500 0.500  1.44
Cl1 0.000 0.000 0.000  0.00
Tl1 0.000 0.500 0.000  -0.02
Tl2 0.000 0.000 0.500  -0.02
Tl3 0.500 0.000 0.000  -0.02

Symmetry = No. 221
Total magnetic moment = 1.205 μB per formula unit

Most stable = i

## i
A relaxed structure of Tl2Ir2Cl, computed with GGA-PBE.

a = 7.902 Å, b = 7.902 Å, c = 3.220 Å
α = 90.00°, β = 90.00°, γ = 90.00°
Atoms (fractional coordinates):
Tl1 0.825 0.325 0.500
Ir1 0.377 0.877 0.000
Tl2 0.675 0.825 0.500
Ir2 0.877 0.623 0.000
Cl1 0.500 0.500 0.000
Ir3 0.623 0.123 0.000
Tl3 0.325 0.175 0.500
Ir4 0.123 0.377 0.000
Cl2 0.000 0.000 0.000
Tl4 0.175 0.675 0.500

Symmetry = No. 127
Total magnetic moment = 0.000 μB per formula unit

## ii
A relaxed structure of Tl2Ir2Cl, computed with GGA-PBE.

a = 5.483 Å, b = 5.483 Å, c = 5.428 Å
α = 59.66°, β = 59.66°, γ = 90.00°
Atoms (fractional coordinates):
Tl1 0.250 0.750 0.500
Ir1 0.655 0.655 0.691
Cl1 0.000 0.000 0.000
Ir2 0.345 0.345 0.309
Tl2 0.750 0.250 0.500

Symmetry = No. 139
Total magnetic moment = 0.000 μB per formula unit

Most stable = ii

## i
A relaxed structure of TlIrCl3, computed with GGA-PBE.

a = 4.916 Å, b = 4.916 Å, c = 4.916 Å
α = 90.00°, β = 90.00°, γ = 90.00°
Atoms (fractional coordinates):
Ir1 0.000 0.000 0.000
Cl1 0.000 0.500 0.000
Tl1 0.500 0.500 0.500
Cl2 0.000 0.000 0.500
Cl3 0.500 0.000 0.000

Symmetry = No. 221
Total magnetic moment = 0.000 μB per formula unit

## ii
A relaxed structure of TlIrCl3, computed with GGA-PBE.

a = 5.382 Å, b = 5.382 Å, c = 5.382 Å
α = 90.00°, β = 90.00°, γ = 90.00°
Site moments in Bohr magnetons follow the coordinates.
Atoms (fractional coordinates):
Cl1 0.000 0.500 0.000  0.07
Cl2 0.500 0.000 0.000  0.05
Cl3 0.000 0.000 0.500  0.05
Tl1 0.000 0.000 0.000  -0.01
Ir1 0.500 0.500 0.500  2.91

Symmetry = No. 221
Total magnetic moment = 3.631 μB per formula unit

Most stable = i

## i
A relaxed structure of VIrCl2, computed with GGA-PBE.

a = 4.246 Å, b = 4.246 Å, c = 8.205 Å
α = 75.01°, β = 75.01°, γ = 90.00°
Site moments in Bohr magnetons follow the coordinates.
Atoms (fractional coordinates):
V1 0.250 0.750 0.500  2.11
Cl1 0.875 0.872 0.750  -0.06
Ir1 0.000 0.000 0.000  -0.34
Cl2 0.622 0.125 0.250  -0.06
V2 0.500 0.500 0.000  2.11
Cl3 0.375 0.378 0.750  -0.06
Ir2 0.750 0.250 0.500  -0.34
Cl4 0.128 0.625 0.250  -0.06

Symmetry = No. 122
Total magnetic moment = 1.995 μB per formula unit

## ii
A relaxed structure of VIrCl2, computed with GGA-PBE.

a = 8.060 Å, b = 8.060 Å, c = 8.060 Å
α = 21.58°, β = 21.58°, γ = 21.58°
Site moments in Bohr magnetons follow the coordinates.
Atoms (fractional coordinates):
Cl1 0.098 0.098 0.098  0.00
V1 0.500 0.500 0.500  0.17
Cl2 0.902 0.902 0.902  0.00
Ir1 0.000 0.000 0.000  0.33

Symmetry = No. 166
Total magnetic moment = 0.533 μB per formula unit

Most stable = ii

## i
A relaxed structure of Ir2WCl, computed with GGA-PBE.

a = 4.480 Å, b = 4.480 Å, c = 4.480 Å
α = 60.00°, β = 60.00°, γ = 60.00°
Atoms (fractional coordinates):
Cl1 0.000 0.000 0.000
W1 0.500 0.500 0.500
Ir1 0.250 0.250 0.250
Ir2 0.750 0.750 0.750

Symmetry = No. 225
Total magnetic moment = 0.000 μB per formula unit

## ii
A relaxed structure of Ir2WCl, computed with GGA-PBE.

a = 4.691 Å, b = 4.691 Å, c = 6.541 Å
α = 91.94°, β = 91.94°, γ = 35.25°
Atoms (fractional coordinates):
W1 0.529 0.529 0.586
Cl1 0.056 0.056 0.280
Ir1 0.104 0.104 0.904
Ir2 0.811 0.811 0.730

Symmetry = No. 8
Total magnetic moment = 0.000 μB per formula unit

Most stable = ii